A relaxed structure of CaS2Cl2O6. Source: the Alexandria database, functional PBE.

Cell: 9.4359 10.3916 17.7017 Å, 90.00 90.00 90.00°
With the nearest neighbours (Å) after each atom.
Fractional positions:
Ca 0.6403 0.4031 0.3718  6 O 2.33-2.39
Ca 0.8597 0.9031 0.6282  6 O 2.33-2.39
Ca 0.6403 0.9031 0.1282  6 O 2.33-2.39
Ca 0.1403 0.0969 0.3718  6 O 2.33-2.39
Ca 0.3597 0.5969 0.6282  6 O 2.33-2.39
Ca 0.1403 0.5969 0.1282  6 O 2.33-2.39
Ca 0.8597 0.4031 0.8718  6 O 2.33-2.39
Ca 0.3597 0.0969 0.8718  6 O 2.33-2.39
S 0.0306 0.6471 0.7442  3 O 1.45-1.46
S 0.2166 0.3851 0.9694  3 O 1.46
S 0.9694 0.3529 0.2558  3 O 1.45-1.46
S 0.4694 0.1471 0.2558  3 O 1.45-1.46
S 0.2834 0.3851 0.4694  3 O 1.46
S 0.2166 0.8851 0.5306  3 O 1.46
S 0.9694 0.8529 0.2442  3 O 1.45-1.46
S 0.4694 0.6471 0.2442  3 O 1.45-1.46
S 0.0306 0.1471 0.7558  3 O 1.45-1.46
S 0.7834 0.1149 0.4694  3 O 1.46
S 0.7166 0.6149 0.5306  3 O 1.46
S 0.2834 0.8851 0.0306  3 O 1.46
S 0.5306 0.3529 0.7558  3 O 1.45-1.46
S 0.5306 0.8529 0.7442  3 O 1.45-1.46
S 0.7166 0.1149 0.9694  3 O 1.46
S 0.7834 0.6149 0.0306  3 O 1.46
Cl 0.8518 0.4865 0.5815  1 S 2.05
Cl 0.3812 0.2546 0.1709  1 S 2.05
Cl 0.3518 0.0135 0.5815  1 S 2.05
Cl 0.6188 0.2454 0.6709  1 S 2.05
Cl 0.8812 0.7454 0.3291  1 S 2.05
Cl 0.6188 0.7454 0.8291  1 S 2.05
Cl 0.1188 0.2546 0.6709  1 S 2.05
Cl 0.1188 0.7546 0.8291  1 S 2.05
Cl 0.8812 0.2454 0.1709  1 S 2.05
Cl 0.1482 0.0135 0.0815  1 S 2.05
Cl 0.6482 0.9865 0.4185  1 S 2.05
Cl 0.8518 0.9865 0.9185  1 S 2.05
Cl 0.1482 0.5135 0.4185  1 S 2.05
Cl 0.3518 0.5135 0.9185  1 S 2.05
Cl 0.6482 0.4865 0.0815  1 S 2.05
Cl 0.3812 0.7546 0.3291  1 S 2.05
O 0.7811 0.2408 0.9576  1 S 1.46
O 0.5644 0.2353 0.2948  1 S 1.46
O 0.9567 0.5431 0.7826  1 S 1.45
O 0.2861 0.4250 0.5486  1 S 1.46
O 0.0817 0.9022 0.5693  1 S 1.46
O 0.7139 0.5750 0.4514  1 S 1.46
O 0.5433 0.0431 0.2174  1 S 1.45
O 0.9183 0.5978 0.0693  1 S 1.46
O 0.0817 0.4022 0.9307  1 S 1.46
O 0.8508 0.3966 0.3019  1 S 1.46
O 0.2811 0.7592 0.5424  1 S 1.46
O 0.5433 0.5431 0.2826  1 S 1.45
O 0.7861 0.5750 0.9514  1 S 1.46
O 0.4183 0.4022 0.4307  1 S 1.46
O 0.9567 0.0431 0.7174  1 S 1.45
O 0.5644 0.7353 0.2052  1 S 1.46
O 0.5817 0.0978 0.9307  1 S 1.46
O 0.1492 0.6034 0.6981  1 S 1.46
O 0.0433 0.4569 0.2174  1 S 1.45
O 0.7189 0.7408 0.0424  1 S 1.46
O 0.1492 0.1034 0.8019  1 S 1.46
O 0.2811 0.2592 0.9576  1 S 1.46
O 0.3508 0.6034 0.1981  1 S 1.46
O 0.7811 0.7408 0.5424  1 S 1.46
O 0.9183 0.0978 0.4307  1 S 1.46
O 0.4356 0.7647 0.7052  1 S 1.46
O 0.0644 0.2647 0.2948  1 S 1.46
O 0.4183 0.9022 0.0693  1 S 1.46
O 0.2139 0.9250 0.4514  1 S 1.46
O 0.4356 0.2647 0.7948  1 S 1.46
O 0.2139 0.4250 0.0486  1 S 1.46
O 0.5817 0.5978 0.5693  1 S 1.46
O 0.7189 0.2408 0.4576  1 S 1.46
O 0.2861 0.9250 0.9514  1 S 1.46
O 0.4567 0.9569 0.7826  1 S 1.45
O 0.2189 0.2592 0.4576  1 S 1.46
O 0.6492 0.3966 0.8019  1 S 1.46
O 0.0644 0.7647 0.2052  1 S 1.46
O 0.0433 0.9569 0.2826  1 S 1.45
O 0.7139 0.0750 0.0486  1 S 1.46
O 0.2189 0.7592 0.0424  1 S 1.46
O 0.6492 0.8966 0.6981  1 S 1.46
O 0.9356 0.2353 0.7948  1 S 1.46
O 0.9356 0.7353 0.7052  1 S 1.46
O 0.8508 0.8966 0.1981  1 S 1.46
O 0.4567 0.4569 0.7174  1 S 1.45
O 0.7861 0.0750 0.5486  1 S 1.46
O 0.3508 0.1034 0.3019  1 S 1.46

## Properties
V = 19.7 A^3/atom
energy = -488.19 eV per cell
spin magnetization = 0.000 μB/f.u.
formation energy without anion corrections = -1.575 eV per atom
crystal system = orthorhombic